Material: MnZnRe2
Method: DFT, PBE
State: relaxed

Properties
As for the total DFT energy (no corrections): -69.11 eV for the cell shown. The value obtained for the calculated volume is 14.4 A^3/atom. The formation enthalpy at 0 K is 0.79 eV/f.u. Its magnetization is 2.44 μB per formula unit.

Structure (CIF):
```
data_MnZnRe2
_chemical_formula_sum 'Mn2 Zn2 Re4'
_space_group_name_H-M_alt 'C m m 2'
_space_group_IT_number 35
_cell_length_a 3.065
_cell_length_b 4.368
_cell_length_c 8.581
_cell_angle_alpha 90.00
_cell_angle_beta 90.00
_cell_angle_gamma 90.00
loop_
_space_group_symop_operation_xyz
'x,y,z'
'-x,-y,z'
'-x,y,z'
'x,-y,z'
'x+1/2,y+1/2,z'
'-x+1/2,-y+1/2,z'
'-x+1/2,y+1/2,z'
'x+1/2,-y+1/2,z'
loop_
_atom_site_label
_atom_site_fract_x
_atom_site_fract_y
_atom_site_fract_z
Mn1 0.000 0.000 0.000
Zn1 0.000 0.500 0.243
Re1 0.000 0.000 0.507
Re2 0.000 0.500 0.765
```